Record 1
DFT (GGA-PBE) results for a geometry-optimized RbAl2TeS6 structure.

## Properties
Volume: 1036.53 Å³ per cell
Calculated density: 2.94 Mg/m³
Final energy: -0.15307 Ha/atom
Energy relative to the elements, uncorrected: -0.5293 eV per atom
Size of the total moment: 0.0 μB per cell

Cell lengths 11.6979, 13.0748, 6.8014 Å; angles 90.00, 94.85, 90.00 degrees
Last column: nearest neighbours and their distance in Å.
Space group C2/c (No. 15)
Symmetry-distinct sites (fractional):
Rb 0.0000 0.0573 0.2500  6 S 3.14-3.32
Al 0.1964 0.4081 0.2266  4 S 2.24-2.32
Te 0.0000 0.2836 0.7500  4 S 2.48-2.65
S 0.1160 0.2645 0.1004  1 Al 2.24
S 0.1315 0.1547 0.6252  1 Al 2.32, 1 Te 2.48
S 0.1671 0.4468 0.5510  2 Al 2.25-2.32



Record 2
DFT (GGA-PBE) results for a geometry-optimized Rb2TiAlS5 structure.

## Properties
Volume: 995.44 Å³ per cell
Calculated density: 2.71 Mg/m³
Final energy: -0.18036 Ha/atom
Energy relative to the elements, uncorrected: -1.1067 eV per atom
Size of the total moment: 0.8 μB per cell

Cell lengths 3.6424, 19.6132, 13.9343 Å; angles 90.00, 90.00, 90.00 degrees
Last column: nearest neighbours and their distance in Å.
Space group Cmc2_1 (No. 36)
Symmetry-distinct sites (fractional):
Rb 0.0000 0.1217 0.0000  7 S 3.32-3.64, 2 Rb 3.64
Rb 0.0000 0.1337 0.6184  7 S 3.35-3.65, 2 Rb 3.64
Ti 0.0000 0.2165 0.3280  3 S 2.20-2.42
Al 0.0000 0.4212 0.7542  4 S 2.21-2.30
S 0.0000 0.0729 0.3526  2 Al 2.28
S 0.0000 0.2922 0.9413  2 Ti 2.42
S 0.0000 0.3097 0.7043  1 Al 2.30, 2 Ti 2.56
S 0.0000 0.3282 0.3138  1 Ti 2.20
S 0.0000 0.4907 0.6292  1 Al 2.21



Record 3
DFT (GGA-PBE) results for a geometry-optimized Rb3Tm3AlS8 structure.

## Properties
Volume: 1235.75 Å³ per cell
Calculated density: 4.22 Mg/m³
Final energy: -0.18758 Ha/atom
Energy relative to the elements, uncorrected: -1.5656 eV per atom
Size of the total moment: 0.0 μB per cell

Cell lengths 7.7709, 7.7709, 23.6240 Å; angles 90.00, 90.00, 120.00 degrees
Last column: nearest neighbours and their distance in Å.
Space group R-3m (No. 166, hexagonal axes)
Symmetry-distinct sites (fractional):
Rb 0.0000 0.5000 0.0000  6 S 3.31-3.34
Tm 0.0000 0.5000 0.5000  6 S 2.70-2.72
Al 0.0000 0.0000 0.5000  6 S 2.51
S 0.0000 0.0000 0.2302  3 Tm 2.70
S 0.0237 0.5118 0.2259  1 Al 2.51, 2 Tm 2.72



Record 4
DFT (GGA-PBE) results for a geometry-optimized Rb2TmAlS4 structure.

## Properties
Volume: 786.06 Å³ per cell
Calculated density: 4.18 Mg/m³
Final energy: -0.17034 Ha/atom
Energy relative to the elements, uncorrected: -1.3027 eV per atom
Size of the total moment: 0.0 μB per cell

Cell lengths 8.0503, 8.3783, 11.6543 Å; angles 90.00, 90.00, 90.00 degrees
Last column: nearest neighbours and their distance in Å.
Space group Imma (No. 74)
Symmetry-distinct sites (fractional):
Rb 0.0000 0.0000 0.0000  6 S 3.10-3.11
Rb 0.2500 0.2500 0.2500  6 S 3.25-3.26
Tm 0.0000 0.0000 0.5000  6 S 2.75-2.79
Al 0.2500 0.2500 0.7500  6 S 2.59-2.60
S 0.0000 0.0543 0.7358  2 Al 2.60, 1 Tm 2.79
S 0.2183 0.2500 0.5286  1 Al 2.59, 2 Tm 2.75



Record 5
DFT (GGA-PBE) results for a geometry-optimized Rb2Tm2AlS6 structure.

## Properties
Volume: 600.33 Å³ per cell
Calculated density: 4.03 Mg/m³
Final energy: -0.18569 Ha/atom
Energy relative to the elements, uncorrected: -1.4724 eV per atom
Size of the total moment: 0.0 μB per cell

Cell lengths 6.6673, 11.4127, 8.2263 Å; angles 90.00, 106.45, 90.00 degrees
Last column: nearest neighbours and their distance in Å.
Space group C2/m (No. 12)
Symmetry-distinct sites (fractional):
Rb 0.0000 0.1719 0.0000  6 S 3.33-3.40
Tm 0.0000 0.3330 0.5000  6 S 2.70-2.71
Al 0.0000 0.0000 0.5000  6 S 2.46-2.49
S 0.2191 0.1544 0.6809  1 Al 2.49, 2 Tm 2.70-2.71
S 0.2422 0.0000 0.3228  1 Al 2.46, 2 Tm 2.70



Record 6
DFT (GGA-PBE) results for a geometry-optimized RbTmAlS4 structure.

## Properties
Volume: 353.24 Å³ per cell
Calculated density: 3.85 Mg/m³
Final energy: -0.18509 Ha/atom
Energy relative to the elements, uncorrected: -1.3663 eV per atom
Size of the total moment: 0.4 μB per cell

Cell lengths 6.8113, 5.6689, 9.5070 Å; angles 90.00, 105.79, 90.00 degrees
Last column: nearest neighbours and their distance in Å.
Space group P2_1/m (No. 11)
Symmetry-distinct sites (fractional):
Rb 0.2419 0.2500 0.4578  5 S 3.26-3.59
Tm 0.2459 0.2500 0.9418  6 S 2.71-2.91
Al 0.2454 0.7500 0.1652  4 S 2.19-2.28
S 0.0502 0.7500 0.3142  1 Al 2.19
S 0.0758 0.7500 0.9294  1 Al 2.23
S 0.4934 0.5143 0.8035  1 Al 2.28



Record 7
DFT (GGA-PBE) results for a geometry-optimized RbUAl2S6 structure.

## Properties
Volume: 1136.57 Å³ per cell
Calculated density: 3.33 Mg/m³
Final energy: -0.20479 Ha/atom
Energy relative to the elements, uncorrected: -1.1222 eV per atom
Size of the total moment: 4.0 μB per cell

Cell lengths 12.9761, 12.7404, 7.2614 Å; angles 90.00, 108.78, 90.00 degrees
Last column: nearest neighbours and their distance in Å.
Space group C2/c (No. 15)
Symmetry-distinct sites (fractional):
Rb 0.0000 0.0800 0.2500  6 S 3.22-3.34
U 0.0000 0.2889 0.7500  6 S 2.52-2.81
Al 0.2025 0.4204 0.1181  4 S 2.23-2.33
S 0.0784 0.2985 0.1154  1 Al 2.23
S 0.1306 0.1364 0.7160  1 Al 2.23
S 0.1668 0.4358 0.7862  2 Al 2.31-2.33



Record 8
DFT (GGA-PBE) results for a geometry-optimized RbUAlS4 structure.

## Properties
Volume: 378.70 Å³ per cell
Calculated density: 4.20 Mg/m³
Final energy: -0.21806 Ha/atom
Energy relative to the elements, uncorrected: -1.2896 eV per atom
Size of the total moment: 4.0 μB per cell

Cell lengths 6.4973, 6.6925, 9.1932 Å; angles 90.00, 108.67, 90.00 degrees
Last column: nearest neighbours and their distance in Å.
Space group P2_1/m (No. 11)
Symmetry-distinct sites (fractional):
Rb 0.2327 0.2500 0.4418  4 S 3.23-3.60
U 0.2787 0.2500 0.9509  6 S 2.69-2.80
Al 0.2662 0.7500 0.1615  4 S 2.22-2.27
S 0.0390 0.7500 0.9208  1 Al 2.23
S 0.0632 0.7500 0.3156  1 Al 2.22
S 0.4918 0.5040 0.8048  1 Al 2.27



Record 9
DFT (GGA-PBE) results for a geometry-optimized Rb2U2AlS6 structure.

## Properties
Volume: 622.13 Å³ per cell
Calculated density: 4.62 Mg/m³
Final energy: -0.22371 Ha/atom
Energy relative to the elements, uncorrected: -1.2675 eV per atom
Size of the total moment: 10.0 μB per cell

Cell lengths 6.7892, 11.6238, 8.2114 Å; angles 90.00, 106.25, 90.00 degrees
Last column: nearest neighbours and their distance in Å.
Space group C2/m (No. 12)
Symmetry-distinct sites (fractional):
Rb 0.0000 0.1698 0.0000  6 S 3.34-3.44
U 0.0000 0.3336 0.5000  6 S 2.73-2.75
Al 0.0000 0.0000 0.5000  6 S 2.47-2.53
S 0.2173 0.1550 0.6814  1 Al 2.53, 2 U 2.73-2.74
S 0.2399 0.0000 0.3225  1 Al 2.47, 2 U 2.75



Record 10
DFT (GGA-PBE) results for a geometry-optimized Rb4Y3AlS8 structure.

## Properties
Volume: 1272.77 Å³ per cell
Calculated density: 3.49 Mg/m³
Final energy: -0.19764 Ha/atom
Energy relative to the elements, uncorrected: -1.6264 eV per atom
Size of the total moment: 0.0 μB per cell

Cell lengths 7.9918, 7.9918, 23.0094 Å; angles 90.00, 90.00, 120.00 degrees
Last column: nearest neighbours and their distance in Å.
Space group R-3m (No. 166, hexagonal axes)
Symmetry-distinct sites (fractional):
Rb 0.0000 0.0000 0.0000  6 S 3.46
Rb 0.0000 0.5000 0.0000  6 S 3.29-3.30
Y 0.0000 0.5000 0.5000  6 S 2.75-2.78
Al 0.0000 0.0000 0.5000  6 S 2.57
S 0.0000 0.0000 0.2316  3 Y 2.75
S 0.0231 0.5115 0.2279  1 Al 2.57, 2 Y 2.78



Record 11
DFT (GGA-PBE) results for a geometry-optimized Rb3Y3AlS8 structure.

## Properties
Volume: 847.58 Å³ per cell
Calculated density: 3.16 Mg/m³
Final energy: -0.20202 Ha/atom
Energy relative to the elements, uncorrected: -1.5601 eV per atom
Size of the total moment: 0.0 μB per cell

Cell lengths 13.6655, 7.8840, 9.0936 Å; angles 90.00, 120.10, 90.00 degrees
Last column: nearest neighbours and their distance in Å.
Space group C2/m (No. 12)
Symmetry-distinct sites (fractional):
Rb 0.0000 0.0000 0.0000  6 S 3.32-3.35
Rb 0.2500 0.2500 0.0000  6 S 3.32-3.35
Y 0.0000 0.5000 0.5000  6 S 2.74-2.76
Y 0.2500 0.2500 0.5000  6 S 2.74-2.76
Al 0.0000 0.0000 0.5000  6 S 2.51
S 0.0170 0.2290 0.3220  1 Al 2.51, 2 Y 2.76
S 0.2120 0.0000 0.6780  1 Al 2.51, 2 Y 2.76
S 0.2311 0.5000 0.6934  3 Y 2.74



Record 12
DFT (GGA-PBE) results for a geometry-optimized Rb2ZrAlS5 structure.

## Properties
Volume: 1056.05 Å³ per cell
Calculated density: 2.83 Mg/m³
Final energy: -0.18635 Ha/atom
Energy relative to the elements, uncorrected: -1.1971 eV per atom
Size of the total moment: 3.0 μB per cell

Cell lengths 3.7175, 19.9882, 14.2121 Å; angles 90.00, 90.00, 90.00 degrees
Last column: nearest neighbours and their distance in Å.
Space group Cmc2_1 (No. 36)
Symmetry-distinct sites (fractional):
Rb 0.0000 0.1256 0.0000  7 S 3.35-3.66, 2 Rb 3.72
Rb 0.0000 0.1288 0.6241  6 S 3.37-3.39, 2 Rb 3.72
Zr 0.0000 0.2107 0.3343  5 S 2.42-2.66
Al 0.0000 0.4251 0.7474  4 S 2.22-2.31
S 0.0000 0.0670 0.3416  2 Al 2.30
S 0.0000 0.2964 0.9542  2 Zr 2.53
S 0.0000 0.3136 0.7045  1 Al 2.31
S 0.0000 0.3310 0.3139  1 Zr 2.42
S 0.0000 0.4885 0.6195  1 Al 2.22



Record 13
DFT (GGA-PBE) results for a geometry-optimized RbZrAlS4 structure.

## Properties
Volume: 365.97 Å³ per cell
Calculated density: 3.01 Mg/m³
Final energy: -0.20558 Ha/atom
Energy relative to the elements, uncorrected: -1.3414 eV per atom
Size of the total moment: 0.0 μB per cell

Cell lengths 6.3281, 6.7854, 8.5616 Å; angles 90.00, 95.43, 90.00 degrees
Last column: nearest neighbours and their distance in Å.
Space group P2_1/m (No. 11)
Symmetry-distinct sites (fractional):
Rb 0.2170 0.2500 0.0642  1 S 3.18
Zr 0.1771 0.7500 0.4565  6 S 2.52-2.66
Al 0.3496 0.2500 0.6505  4 S 2.21-2.30
S 0.1074 0.0046 0.6826  1 Al 2.30
S 0.3494 0.7500 0.1928  1 Al 2.22
S 0.4497 0.2500 0.4106  1 Al 2.21



Record 14
DFT (GGA-PBE) results for a geometry-optimized Rb2ZrAlS4 structure.

## Properties
Volume: 2148.10 Å³ per cell
Calculated density: 2.58 Mg/m³
Final energy: -0.18597 Ha/atom
Energy relative to the elements, uncorrected: -1.2184 eV per atom
Size of the total moment: 0.0 μB per cell

Cell lengths 6.3107, 14.0341, 24.2545 Å; angles 90.00, 90.00, 90.00 degrees
Last column: nearest neighbours and their distance in Å.
Space group Fddd (No. 70, origin choice 2)
Symmetry-distinct sites (fractional):
Rb 0.1250 0.1250 0.3033  8 S 3.68-3.99
Zr 0.1250 0.1250 0.1250  4 S 2.45
Al 0.1250 0.1250 0.6250  4 S 2.30
S 0.1062 0.2824 0.8253  1 Al 2.30, 1 Zr 2.45



Record 15
DFT (GGA-PBE) results for a geometry-optimized Rb6AlSb3 structure.

## Properties
Volume: 846.68 Å³ per cell
Calculated density: 3.55 Mg/m³
Final energy: -0.09520 Ha/atom
Energy relative to the elements, uncorrected: -0.3991 eV per atom
Size of the total moment: 0.0 μB per cell

Cell lengths 10.8931, 6.3209, 12.5197 Å; angles 90.00, 100.83, 90.00 degrees
Last column: nearest neighbours and their distance in Å.
Space group P2_1/m (No. 11)
Symmetry-distinct sites (fractional):
Rb 0.0426 0.2500 0.0781  4 Rb 3.74-3.95, 3 Sb 3.88-3.96, 2 Al 4.14
Rb 0.0610 0.2500 0.4587  4 Rb 3.65-4.05, 4 Sb 3.93-3.98
Rb 0.2406 0.7500 0.7767  3 Sb 3.68-3.74, 4 Rb 3.86-4.11
Rb 0.3650 0.2500 0.9773  4 Sb 3.73-3.86, 3 Rb 3.95-4.11
Rb 0.3775 0.2500 0.3222  2 Al 3.81, 4 Rb 3.81-4.12, 5 Sb 3.96-4.01
Rb 0.4144 0.2500 0.6313  4 Sb 3.77-3.82, 4 Rb 3.81-4.05
Al 0.1790 0.7500 0.2796  3 Sb 2.64-2.71
Sb 0.0672 0.2500 0.7733  1 Al 2.64
Sb 0.2872 0.7500 0.4883  1 Al 2.66
Sb 0.3212 0.7500 0.1240  1 Al 2.71



Record 16
DFT (GGA-PBE) results for a geometry-optimized RbAl2Sb structure.

## Properties
Volume: 519.60 Å³ per cell
Calculated density: 3.34 Mg/m³
Final energy: -0.10625 Ha/atom
Energy relative to the elements, uncorrected: 0.2524 eV per atom
Size of the total moment: 0.0 μB per cell

Cell lengths 8.7710, 8.7710, 6.7543 Å; angles 90.00, 90.00, 90.00 degrees
Last column: nearest neighbours and their distance in Å.
Space group I-42d (No. 122)
Symmetry-distinct sites (fractional):
Rb 0.0000 0.0000 0.0000  2 Sb 3.38, 8 Al 3.64-3.71
Al 0.1825 0.2500 0.6250  2 Sb 2.84
Sb 0.0000 0.0000 0.5000  4 Al 2.84



Record 17
DFT (GGA-PBE) results for a geometry-optimized RbAl3Sb3 structure.

## Properties
Volume: 466.22 Å³ per cell
Calculated density: 3.79 Mg/m³
Final energy: -0.13287 Ha/atom
Energy relative to the elements, uncorrected: -0.1066 eV per atom
Size of the total moment: 0.0 μB per cell

Cell lengths 10.3334, 10.3334, 5.0416 Å; angles 90.00, 90.00, 120.00 degrees
Last column: nearest neighbours and their distance in Å.
Space group P6_3/m (No. 176)
Symmetry-distinct sites (fractional):
Rb 0.3333 0.6667 0.2500  9 Al 3.73-3.75, 9 Sb 3.74-3.94
Al 0.0581 0.6534 0.7500  4 Sb 2.75-2.79
Sb 0.0743 0.3920 0.7500  4 Al 2.75-2.79



Record 18
DFT (GGA-PBE) results for a geometry-optimized Rb5Al2Sb5 structure.

## Properties
Volume: 913.30 Å³ per cell
Calculated density: 3.96 Mg/m³
Final energy: -0.11090 Ha/atom
Energy relative to the elements, uncorrected: -0.2733 eV per atom
Size of the total moment: 0.0 μB per cell

Cell lengths 18.5674, 4.2438, 12.1747 Å; angles 90.00, 107.82, 90.00 degrees
Last column: nearest neighbours and their distance in Å.
Space group C2/m (No. 12)
Symmetry-distinct sites (fractional):
Rb 0.0000 0.0000 0.0000  2 Sb 3.64
Rb 0.1741 0.0000 0.5860  5 Sb 3.52-3.82, 1 Rb 3.65
Rb 0.2150 0.5000 0.1096  5 Sb 3.59-3.96, 3 Rb 3.65-3.93
Al 0.0557 0.5000 0.3045  4 Sb 2.68-2.87
Sb 0.0000 0.5000 0.5000  2 Al 2.87
Sb 0.0961 0.5000 0.7848  1 Al 2.69
Sb 0.1391 0.0000 0.2851  2 Al 2.68